<one>
Density functional theory data (PBE) for Pd2SeF after structural relaxation.

Results
Spin magnetization (μB per cell): 0.00

Cell: 6.3804 6.3804 6.5422 Å, 90.00 90.00 90.00°
Last column: nearest neighbours and their distance in Å.
Sites, in units of the cell vectors:
Pd: 0.2436 0.2500 0.1250  2 F 2.37, 2 Se 2.43
Pd: 0.2500 0.7436 0.3750  2 F 2.37, 2 Se 2.43
Pd: 0.2500 0.7564 0.8750  2 F 2.37, 2 Se 2.43
Pd: 0.2564 0.2500 0.6250  2 F 2.37, 2 Se 2.43
Pd: 0.7436 0.7500 0.6250  2 F 2.37, 2 Se 2.43
Pd: 0.7500 0.2436 0.8750  2 F 2.37, 2 Se 2.43
Pd: 0.7500 0.2564 0.3750  2 F 2.37, 2 Se 2.43
Pd: 0.7564 0.7500 0.1250  2 F 2.37, 2 Se 2.43
Se: 0.0000 0.0000 0.5000  4 Pd 2.43
Se: 0.0000 0.5000 0.7500  4 Pd 2.43
Se: 0.5000 0.0000 0.2500  4 Pd 2.43
Se: 0.5000 0.5000 0.0000  4 Pd 2.43
F: 0.0000 0.0000 0.0000  4 Pd 2.37
F: 0.0000 0.5000 0.2500  4 Pd 2.37
F: 0.5000 0.0000 0.7500  4 Pd 2.37
F: 0.5000 0.5000 0.5000  4 Pd 2.37

<two>
Density functional theory data (PBE) for Pd2SeF after structural relaxation.

Results
Spin magnetization (μB per cell): 0.00

Cell: 6.1473 6.1473 6.1473 Å, 90.00 90.00 90.00°
Last column: nearest neighbours and their distance in Å.
Sites, in units of the cell vectors:
Pd: 0.2500 0.2500 0.2500  4 Se 2.66, 4 F 2.66
Pd: 0.2500 0.2500 0.7500  4 F 2.66, 4 Se 2.66
Pd: 0.2500 0.7500 0.2500  4 F 2.66, 4 Se 2.66
Pd: 0.2500 0.7500 0.7500  4 Se 2.66, 4 F 2.66
Pd: 0.7500 0.2500 0.2500  4 F 2.66, 4 Se 2.66
Pd: 0.7500 0.2500 0.7500  4 Se 2.66, 4 F 2.66
Pd: 0.7500 0.7500 0.2500  4 Se 2.66, 4 F 2.66
Pd: 0.7500 0.7500 0.7500  4 F 2.66, 4 Se 2.66
Se: 0.0000 0.0000 0.0000  8 Pd 2.66
Se: 0.0000 0.5000 0.5000  8 Pd 2.66
Se: 0.5000 0.0000 0.5000  8 Pd 2.66
Se: 0.5000 0.5000 0.0000  8 Pd 2.66
F: 0.0000 0.0000 0.5000  8 Pd 2.66
F: 0.0000 0.5000 0.0000  8 Pd 2.66
F: 0.5000 0.0000 0.0000  8 Pd 2.66
F: 0.5000 0.5000 0.5000  8 Pd 2.66

Each structure's energy above the most stable one, in meV per atom: <one> 38; <two> 0.